# GGA-PBE ZrCrCl2, optimized geometry
data_ZrCrCl2
_symmetry_space_group_name_H-M 'P 1'
_symmetry_Int_Tables_number 1
_cell_length_a 3.161
_cell_length_b 3.160
_cell_length_c 10.249
_cell_angle_alpha 90.00
_cell_angle_beta 90.00
_cell_angle_gamma 90.00
loop_
_symmetry_equiv_pos_as_xyz
'x,y,z'
loop_
_atom_site_label
_atom_site_fract_x
_atom_site_fract_y
_atom_site_fract_z
Cr1 0.500 0.500 0.250
Zr1 0.500 0.500 0.750
Cl1 0.000 0.000 0.902
Cl2 0.000 0.000 0.598
# ΔE_f (raw): -294 meV per atom
# DFT total energy: -5.76 eV per atom
# Polymorph energy (0 for the lowest one): 394 meV per atom

# GGA-PBE MnSi2C, optimized geometry
data_MnSi2C
_symmetry_space_group_name_H-M 'P 1'
_symmetry_Int_Tables_number 1
_cell_length_a 5.607
_cell_length_b 5.607
_cell_length_c 5.136
_cell_angle_alpha 56.92
_cell_angle_beta 56.92
_cell_angle_gamma 90.00
loop_
_symmetry_equiv_pos_as_xyz
'x,y,z'
loop_
_atom_site_label
_atom_site_fract_x
_atom_site_fract_y
_atom_site_fract_z
Si1 0.547 0.125 0.250
Si2 0.203 0.625 0.250
Si3 0.375 0.453 0.750
Si4 0.875 0.797 0.750
Mn1 0.000 0.000 0.000
Mn2 0.750 0.250 0.500
C1 0.500 0.500 0.000
C2 0.250 0.750 0.500
# ΔE_f (raw): 400 meV per atom
# DFT total energy: -6.91 eV per atom

# GGA-PBE Cu7Pd4Pt, optimized geometry
data_Cu7Pd4Pt
_symmetry_space_group_name_H-M 'P 1'
_symmetry_Int_Tables_number 1
_cell_length_a 4.609
_cell_length_b 8.613
_cell_length_c 5.133
_cell_angle_alpha 88.55
_cell_angle_beta 63.33
_cell_angle_gamma 74.48
loop_
_symmetry_equiv_pos_as_xyz
'x,y,z'
loop_
_atom_site_label
_atom_site_fract_x
_atom_site_fract_y
_atom_site_fract_z
Cu1 0.798 0.911 0.493
Cu2 0.202 0.089 0.507
Cu3 0.037 0.617 0.310
Cu4 0.963 0.383 0.690
Cu5 0.347 0.529 0.777
Cu6 0.500 0.000 0.000
Cu7 0.653 0.471 0.223
Pd1 0.634 0.226 0.507
Pd2 0.366 0.774 0.493
Pd3 0.713 0.695 0.880
Pd4 0.287 0.305 0.120
Pt1 0.000 0.000 0.000
# E_form: 146.2 meV per atom
# DFT total energy: -4.48 eV per atom
# Polymorph energy (0 for the lowest one): 226 meV per atom